Ba2ZnCu: relaxed, PBE.

Lattice parameters (Å, degrees): 8.7548 8.7548 7.3985 53.73 53.73 90.00
Fractional coordinates of all 8 atoms:
Zn 0.0000 0.0000 0.0000
Zn 0.7500 0.2500 0.5000
Ba 0.6048 0.1250 0.2500
Ba 0.1452 0.6250 0.2500
Ba 0.3750 0.3952 0.7500
Ba 0.8750 0.8548 0.7500
Cu 0.5000 0.5000 0.0000
Cu 0.2500 0.7500 0.5000

crystal system: tetragonal
energy relative to the elements: 0.78 eV per formula unit
E_tot: -2.11 eV per atom
space group: I-42d (122)